A geometry-optimized HgBiAu2 structure. Source: the Alexandria database, functional PBE.

abc: 4.5332 4.5332 10.0866
angles: 77.01 77.01 90.00
Sites, in units of the cell vectors:
Au  0.8750  0.8581  0.7500
Au  0.1419  0.6250  0.2500
Au  0.3750  0.3919  0.7500
Au  0.6081  0.1250  0.2500
Hg  0.2500  0.7500  0.5000
Hg  0.5000  0.5000  0.0000
Bi  0.0000  0.0000  0.0000
Bi  0.7500  0.2500  0.5000

Values from the calculation:
- ΔE_f (meV/atom) = 134.9
- crystal system = tetragonal
- space group = No. 122

***

A geometry-optimized In3AsO structure. Source: the Alexandria database, functional PBE.

abc: 4.8120 4.8120 4.8120
angles: 90.00 90.00 90.00
Sites, in units of the cell vectors:
O  0.0000  0.0000  0.0000
In  0.0000  0.5000  0.0000
In  0.0000  0.0000  0.5000
In  0.5000  0.0000  0.0000
As  0.5000  0.5000  0.5000

Values from the calculation:
- ΔE_f (raw) (eV/atom) = -0.154
- excess energy over the best structure of this formula in the dataset (meV per atom) = 0.0
- crystal system = cubic
- space group = No. 221

***

| no. | magnetic moment (μB per cell) |
| --- | --- |
| 1 | 0.00 |
| 2 | 0.00 |